Material: KInTc2
Method: DFT, GGA-PBE
State: relaxed

Cell and atoms, written as POSCAR:
```
KInTc2
1.0
3.620 0.000 0.000
0.000 3.620 0.000
0.000 0.000 7.512
K In Tc
1 1 2
direct
0.000 0.000 0.000
0.000 0.000 0.500
0.500 0.500 0.350
0.500 0.500 0.650
```

DOS(E_F) = 1.217 states/eV/atom
size of the total moment = 0.1325 μB per atom
VASP energy = -0.38539 Ry/atom
DFT formation energy = 3.59 eV/f.u.